No. 1
# LiPd2Se2

LiPd2Se2 after structural relaxation (PBE, Alexandria via LeMat-Bulk).

Calculated values
Formation energy without anion corrections, eV per atom: -0.35
Offset from the most stable computed form, meV/atom: 38
Magnetization, μB/atom: 0.000
Mass density, Mg/m³: 7.09

Unit cell a=7.204 b=7.204 c=3.408 alpha=90.00 beta=90.00 gamma=90.00
Atoms (fractional coordinates):
Li: 0.000 0.000 0.000
Li: 0.500 0.500 0.000
Pd: 0.141 0.359 0.000
Pd: 0.359 0.859 0.000
Pd: 0.641 0.141 0.000
Pd: 0.859 0.641 0.000
Se: 0.170 0.670 0.500
Se: 0.330 0.170 0.500
Se: 0.670 0.830 0.500
Se: 0.830 0.330 0.500

=====

No. 2
# YMn2I

YMn2I after structural relaxation (PBE, Alexandria via LeMat-Bulk).

Calculated values
Formation energy without anion corrections, eV per atom: 0.45
Offset from the most stable computed form, meV/atom: 0
Magnetization, μB/atom: 1.995
Mass density, Mg/m³: 5.55

Unit cell a=6.458 b=6.458 c=6.458 alpha=102.08 beta=102.08 gamma=125.54
Atoms (fractional coordinates):
Y: 0.000 0.000 0.000
Y: 0.750 0.250 0.500
Mn: 0.158 0.625 0.033
Mn: 0.375 0.408 0.533
Mn: 0.592 0.125 0.967
Mn: 0.875 0.842 0.467
I: 0.250 0.750 0.500
I: 0.500 0.500 0.000

=====

No. 3
# In2RhPb

In2RhPb after structural relaxation (PBE, Alexandria via LeMat-Bulk).

Calculated values
Energy of formation, meV/atom: 9
Magnetization, μB/atom: 0.000
Mass density, Mg/m³: 9.44

Unit cell a=4.733 b=4.733 c=6.302 alpha=101.98 beta=101.98 gamma=43.63
Atoms (fractional coordinates):
In: 0.231 0.231 0.191
In: 0.769 0.769 0.809
Rh: 0.500 0.500 0.000
Pb: 0.000 0.000 0.500

=====

Question: Which value of magnetization does entry 2 give?
Answer: 1.995 μB/atom